A) ## RbNa2LiPb (PBE-GGA)

Data for crystalline RbNa2LiPb at its relaxed geometry.

Calculated values
Density of states at the Fermi level: 1.9 states/eV/cell

Cell: 5.869 5.869 5.286 Å, 90.00 90.00 90.00°
Atoms (fractional coordinates):
Rb 0.000 0.000 0.000
Na 0.000 0.500 0.500
Na 0.500 0.000 0.500
Li 0.500 0.500 0.500
Pb 0.500 0.500 0.000

B) ## RbNa2LiPb (PBE-GGA)

Data for crystalline RbNa2LiPb at its relaxed geometry.

Calculated values
Density of states at the Fermi level: 1.2 states/eV/cell

Cell: 6.075 6.075 5.551 Å, 90.00 90.00 90.00°
Atoms (fractional coordinates):
Rb 0.000 0.000 0.000
Na 0.000 0.500 0.500
Na 0.500 0.000 0.500
Li 0.500 0.500 0.000
Pb 0.500 0.500 0.500

Energies, relative to the best one, in meV/atom: A) 65; B) 0.

A) ## NaLiTlPb (PBE-GGA)

Data for crystalline NaLiTlPb at its relaxed geometry.

Calculated values
Density of states at the Fermi level: 1.7 states/eV/cell

Cell: 3.543 3.543 7.977 Å, 90.00 90.00 90.00°
Atoms (fractional coordinates):
Na 0.000 0.000 0.000
Li 0.000 0.000 0.498
Tl 0.500 0.500 0.282
Pb 0.500 0.500 0.713

B) ## NaLiTlPb (PBE-GGA)

Data for crystalline NaLiTlPb at its relaxed geometry.

Calculated values
Density of states at the Fermi level: 3.6 states/eV/cell

Cell: 5.214 5.214 5.214 Å, 60.00 60.00 60.00°
Atoms (fractional coordinates):
Na 0.000 0.000 0.000
Li 0.500 0.500 0.500
Tl 0.750 0.750 0.750
Pb 0.250 0.250 0.250

Energies, relative to the best one, in meV/atom: A) 0; B) 49.

A) ## Na2Li2Pd (PBE-GGA)

Data for crystalline Na2Li2Pd at its relaxed geometry.

Calculated values
Density of states at the Fermi level: 2.0 states/eV/cell

Cell: 6.633 6.633 4.986 Å, 90.00 90.00 90.00°
Atoms (fractional coordinates):
Na 0.188 0.312 0.000
Na 0.312 0.812 0.000
Na 0.688 0.188 0.000
Na 0.812 0.688 0.000
Li 0.152 0.652 0.500
Li 0.348 0.152 0.500
Li 0.652 0.848 0.500
Li 0.848 0.348 0.500
Pd 0.000 0.000 0.500
Pd 0.500 0.500 0.500

B) ## Na2Li2Pd (PBE-GGA)

Data for crystalline Na2Li2Pd at its relaxed geometry.

Calculated values
Density of states at the Fermi level: 2.4 states/eV/cell

Cell: 7.216 7.216 4.337 Å, 90.00 90.00 90.00°
Atoms (fractional coordinates):
Na 0.141 0.359 0.000
Na 0.359 0.859 0.000
Na 0.641 0.141 0.000
Na 0.859 0.641 0.000
Li 0.185 0.685 0.500
Li 0.315 0.185 0.500
Li 0.685 0.815 0.500
Li 0.815 0.315 0.500
Pd 0.000 0.000 0.000
Pd 0.500 0.500 0.000

Energies, relative to the best one, in meV/atom: A) 0; B) 186.

A) ## NaLiPd (PBE-GGA)

Data for crystalline NaLiPd at its relaxed geometry.

Calculated values
Density of states at the Fermi level: 0.6 states/eV/cell

Cell: 4.616 4.616 2.858 Å, 90.00 90.00 120.00°
Atoms (fractional coordinates):
Na 0.000 0.000 0.000
Li 0.333 0.667 0.322
Pd 0.667 0.333 0.576

B) ## NaLiPd (PBE-GGA)

Data for crystalline NaLiPd at its relaxed geometry.

Calculated values
Density of states at the Fermi level: 1.0 states/eV/cell

Cell: 5.920 5.920 5.920 Å, 148.75 148.75 44.79°
Atoms (fractional coordinates):
Na 0.000 0.000 0.000
Li 0.714 0.714 0.000
Pd 0.320 0.320 0.000

C) ## NaLiPd (PBE-GGA)

Data for crystalline NaLiPd at its relaxed geometry.

Calculated values
Density of states at the Fermi level: 1.3 states/eV/cell

Cell: 4.547 4.555 6.109 Å, 89.74 89.91 60.13°
Atoms (fractional coordinates):
Na 0.167 0.166 0.121
Na 0.833 0.834 0.879
Li 0.499 0.502 0.687
Li 0.501 0.498 0.313
Pd 0.167 0.167 0.587
Pd 0.833 0.833 0.413

Energies, relative to the best one, in meV/atom: A) 14; B) 0; C) 29.

A) ## NaLiPd3 (PBE-GGA)

Data for crystalline NaLiPd3 at its relaxed geometry.

Calculated values
Density of states at the Fermi level: 2.8 states/eV/cell

Cell: 4.405 4.405 4.405 Å, 90.00 90.00 90.00°
Atoms (fractional coordinates):
Na 0.000 0.000 0.000
Li 0.500 0.500 0.500
Pd 0.000 0.500 0.500
Pd 0.500 0.000 0.500
Pd 0.500 0.500 0.000

B) ## NaLiPd3 (PBE-GGA)

Data for crystalline NaLiPd3 at its relaxed geometry.

Calculated values
Density of states at the Fermi level: 1.6 states/eV/cell

Cell: 4.740 4.740 4.740 Å, 90.00 90.00 90.00°
Atoms (fractional coordinates):
Na 0.000 0.000 0.000
Li 0.500 0.500 0.500
Pd 0.000 0.000 0.500
Pd 0.000 0.500 0.000
Pd 0.500 0.000 0.000

C) ## NaLiPd3 (PBE-GGA)

Data for crystalline NaLiPd3 at its relaxed geometry.

Calculated values
Density of states at the Fermi level: 8.6 states/eV/cell

Cell: 7.838 7.838 5.212 Å, 90.00 90.00 141.22°
Atoms (fractional coordinates):
Na 0.189 0.811 0.750
Na 0.811 0.189 0.250
Li 0.454 0.546 0.250
Li 0.546 0.454 0.750
Pd 0.000 0.000 0.000
Pd 0.000 0.000 0.500
Pd 0.130 0.384 0.750
Pd 0.384 0.130 0.250
Pd 0.616 0.870 0.750
Pd 0.870 0.616 0.250

Energies, relative to the best one, in meV/atom: A) 212; B) 795; C) 0.

A) ## Na2LiPd (PBE-GGA)

Data for crystalline Na2LiPd at its relaxed geometry.

Calculated values
Density of states at the Fermi level: 2.5 states/eV/cell

Cell: 10.785 10.785 10.785 Å, 158.33 158.33 30.84°
Atoms (fractional coordinates):
Na 0.116 0.625 0.991
Na 0.375 0.366 0.491
Na 0.634 0.125 0.009
Na 0.875 0.884 0.509
Li 0.250 0.750 0.500
Li 0.500 0.500 0.000
Pd 0.000 0.000 0.000
Pd 0.750 0.250 0.500

B) ## Na2LiPd (PBE-GGA)

Data for crystalline Na2LiPd at its relaxed geometry.

Calculated values
Density of states at the Fermi level: 1.7 states/eV/cell

Cell: 4.236 4.236 4.589 Å, 90.00 90.00 90.00°
Atoms (fractional coordinates):
Na 0.000 0.500 0.000
Na 0.500 0.000 0.000
Li 0.000 0.000 0.500
Pd 0.500 0.500 0.500

Energies, relative to the best one, in meV/atom: A) 108; B) 0.